AlP2W after structural relaxation, computed with PBE.

a b c (Å): 4.356 4.356 4.763
angles (deg): 93.82 93.82 42.21
Atoms (fractional coordinates):
Al 0.000 0.000 0.000
P 0.221 0.221 0.706
P 0.779 0.779 0.294
W 0.500 0.500 0.500

Calculated values
Crystal system = monoclinic
Calculated total energy = -6.874 eV/atom
Symmetry = C2/m (12)
DOS at the Fermi energy = 0.48 states/eV per atom



Pm2EuSb after structural relaxation, computed with PBE.

a b c (Å): 4.976 4.976 4.852
angles (deg): 90.00 90.00 90.00
Atoms (fractional coordinates):
Pm 0.000 0.500 0.000
Pm 0.500 0.000 0.000
Eu 0.000 0.000 0.500
Sb 0.500 0.500 0.500

Calculated values
Crystal system = tetragonal
E_form (uncorrected) = -0.5094 eV/atom
Calculated total energy = -6.484 eV/atom
Symmetry = P4/mmm (123)
DOS at the Fermi energy = 0.88 states/eV per atom
Energy relative to the lowest polymorph listed for this composition = 0.000 eV per formula unit



Re3P5 after structural relaxation, computed with PBE.

a b c (Å): 5.281 5.281 4.113
angles (deg): 90.00 90.00 110.07
Atoms (fractional coordinates):
Re 0.000 0.000 0.000
Re 0.242 0.758 0.500
Re 0.758 0.242 0.500
P 0.000 0.500 0.000
P 0.236 0.236 0.500
P 0.500 0.000 0.000
P 0.500 0.500 0.000
P 0.764 0.764 0.500

Calculated values
Crystal system = orthorhombic
Calculated total energy = -7.791 eV/atom
Symmetry = Cmmm (65)
DOS at the Fermi energy = 0.64 states/eV per atom
Energy relative to the lowest polymorph listed for this composition = 0.000 eV per formula unit



Tb2YSc8 after structural relaxation, computed with PBE.

a b c (Å): 9.144 9.144 5.502
angles (deg): 107.48 107.48 122.95
Atoms (fractional coordinates):
Tb 0.191 0.809 0.000
Tb 0.809 0.191 0.000
Y 0.500 0.500 0.500
Sc 0.001 0.001 0.244
Sc 0.147 0.403 0.776
Sc 0.298 0.702 0.500
Sc 0.403 0.147 0.776
Sc 0.597 0.853 0.224
Sc 0.702 0.298 0.500
Sc 0.853 0.597 0.224
Sc 0.999 0.999 0.756

Calculated values
Crystal system = monoclinic
Calculated total energy = -5.898 eV/atom
Symmetry = C2/m (12)
DOS at the Fermi energy = 1.62 states/eV per atom



Pr9Ho2Tl after structural relaxation, computed with PBE.

a b c (Å): 5.106 5.106 15.612
angles (deg): 90.00 90.00 90.00
Atoms (fractional coordinates):
Pr 0.000 0.000 0.000
Pr 0.000 0.000 0.331
Pr 0.000 0.000 0.669
Pr 0.000 0.500 0.163
Pr 0.000 0.500 0.500
Pr 0.000 0.500 0.837
Pr 0.500 0.000 0.163
Pr 0.500 0.000 0.500
Pr 0.500 0.000 0.837
Ho 0.500 0.500 0.332
Ho 0.500 0.500 0.668
Tl 0.500 0.500 0.000

Calculated values
Crystal system = tetragonal
Calculated total energy = -4.596 eV/atom
Symmetry = P4/mmm (123)
DOS at the Fermi energy = 1.24 states/eV per atom



Ac2ThGa after structural relaxation, computed with PBE.

a b c (Å): 3.804 3.804 9.398
angles (deg): 90.00 90.00 90.00
Atoms (fractional coordinates):
Ac 0.000 0.000 0.219
Ac 0.000 0.000 0.781
Th 0.500 0.500 0.500
Ga 0.500 0.500 0.000

Calculated values
Crystal system = tetragonal
Calculated total energy = -4.782 eV/atom
Symmetry = P4/mmm (123)
DOS at the Fermi energy = 1.17 states/eV per atom
Energy relative to the lowest polymorph listed for this composition = 0.000 eV per formula unit



RbBeW3 after structural relaxation, computed with PBE.

a b c (Å): 4.680 4.680 4.680
angles (deg): 90.00 90.00 90.00
Atoms (fractional coordinates):
Rb 0.000 0.000 0.000
Be 0.500 0.500 0.500
W 0.000 0.000 0.500
W 0.000 0.500 0.000
W 0.500 0.000 0.000

Calculated values
Crystal system = cubic
Calculated total energy = -4.516 eV/atom
Symmetry = Pm-3m (221)
DOS at the Fermi energy = 1.12 states/eV per atom
Energy relative to the lowest polymorph listed for this composition = 10.321 eV per formula unit



Ta7Mo after structural relaxation, computed with PBE.

a b c (Å): 9.766 9.766 9.766
angles (deg): 160.67 152.31 34.00
Atoms (fractional coordinates):
Ta 0.000 0.000 0.000
Ta 0.126 0.626 0.500
Ta 0.251 0.251 0.000
Ta 0.380 0.880 0.500
Ta 0.620 0.120 0.500
Ta 0.749 0.749 0.000
Ta 0.874 0.374 0.500
Mo 0.500 0.500 0.000

Calculated values
Crystal system = orthorhombic
Calculated total energy = -11.767 eV/atom
Symmetry = Immm (71)
DOS at the Fermi energy = 1.45 states/eV per atom
Energy relative to the lowest polymorph listed for this composition = 0.093 eV per formula unit



TlAgGeHSe after structural relaxation, computed with PBE.

a b c (Å): 4.774 3.650 6.228
angles (deg): 90.00 91.75 90.00
Atoms (fractional coordinates):
Tl 0.000 0.000 0.000
Ag 0.505 0.500 0.975
Ge 0.401 0.500 0.545
H 0.518 0.500 0.290
Se 0.052 0.000 0.490

Calculated values
Crystal system = monoclinic
Calculated total energy = -3.316 eV/atom
Symmetry = Pm (6)
DOS at the Fermi energy = 0.28 states/eV per atom
Energy relative to the lowest polymorph listed for this composition = 0.106 eV per formula unit



CrSbS2N after structural relaxation, computed with PBE.

a b c (Å): 5.072 5.072 3.884
angles (deg): 90.00 90.00 90.00
Atoms (fractional coordinates):
Cr 0.000 0.000 0.000
Sb 0.500 0.500 0.500
S 0.000 0.500 0.500
S 0.500 0.000 0.500
N 0.500 0.500 0.000

Calculated values
Crystal system = tetragonal
E_form (uncorrected) = 0.8992 eV/atom
Calculated total energy = -5.166 eV/atom
Symmetry = P4/mmm (123)
DOS at the Fermi energy = 0.96 states/eV per atom
Energy relative to the lowest polymorph listed for this composition = 4.102 eV per formula unit



CsMoIN2 after structural relaxation, computed with PBE.

a b c (Å): 4.513 4.513 7.459
angles (deg): 90.00 90.00 90.00
Atoms (fractional coordinates):
Cs 0.000 0.000 0.000
Mo 0.500 0.500 0.500
I 0.000 0.000 0.500
N 0.000 0.500 0.000
N 0.500 0.000 0.000

Calculated values
Crystal system = tetragonal
E_form (uncorrected) = 2.6166 eV/atom
Calculated total energy = -3.361 eV/atom
Symmetry = P4/mmm (123)
DOS at the Fermi energy = 0.55 states/eV per atom
Energy relative to the lowest polymorph listed for this composition = 9.684 eV per formula unit



Pm2TmTlHg4 after structural relaxation, computed with PBE.

a b c (Å): 9.356 9.356 9.356
angles (deg): 32.49 32.49 32.49
Atoms (fractional coordinates):
Pm 0.242 0.242 0.242
Pm 0.758 0.758 0.758
Tm 0.000 0.000 0.000
Tl 0.500 0.500 0.500
Hg 0.118 0.118 0.118
Hg 0.365 0.365 0.365
Hg 0.635 0.635 0.635
Hg 0.882 0.882 0.882

Calculated values
Crystal system = trigonal
Calculated total energy = -2.613 eV/atom
Symmetry = R-3m (166)
DOS at the Fermi energy = 0.62 states/eV per atom



Q: Which formula does entry 9 have?
A: TlAgGeHSe